Record 1
The following is a DFT calculation (GGA-PBE) of a geometry-optimized Tb6Dy5Tm structure.

Calculated values
* total magnetic moment: 0.00 μB per formula unit
* SG: C2/m, No. 12
* electronic total energy: -4.59 eV per atom
* crystal system: monoclinic

Lattice parameters (Å, degrees): 6.129 6.129 11.727 94.97 94.97 119.95
Atoms (fractional coordinates):
1 Tb 0.083 0.416 0.249
2 Tb 0.250 0.250 0.750
3 Tb 0.416 0.083 0.249
4 Tb 0.584 0.917 0.751
5 Tb 0.750 0.750 0.250
6 Tb 0.917 0.584 0.751
7 Dy 0.167 0.833 0.500
8 Dy 0.333 0.667 0.000
9 Dy 0.500 0.500 0.500
10 Dy 0.667 0.333 0.000
11 Dy 0.833 0.167 0.500
12 Tm 0.000 0.000 0.000

***

Record 2
The following is a DFT calculation (GGA-PBE) of a geometry-optimized NaMn2Pd structure.

Calculated values
* total magnetic moment: 0.00 μB per formula unit
* SG: Fm-3m, No. 225
* electronic total energy: -5.06 eV per atom
* crystal system: cubic

Lattice parameters (Å, degrees): 6.079 6.079 6.079 90.00 90.00 90.00
Atoms (fractional coordinates):
1 Na 0.000 0.000 0.000
2 Na 0.000 0.500 0.500
3 Na 0.500 0.000 0.500
4 Na 0.500 0.500 0.000
5 Mn 0.250 0.250 0.250
6 Mn 0.250 0.250 0.750
7 Mn 0.250 0.750 0.250
8 Mn 0.250 0.750 0.750
9 Mn 0.750 0.250 0.250
10 Mn 0.750 0.250 0.750
11 Mn 0.750 0.750 0.250
12 Mn 0.750 0.750 0.750
13 Pd 0.000 0.000 0.500
14 Pd 0.000 0.500 0.000
15 Pd 0.500 0.000 0.000
16 Pd 0.500 0.500 0.500

***

Record 3
The following is a DFT calculation (GGA-PBE) of a geometry-optimized EuMgAs2 structure.

Calculated values
* total magnetic moment: 6.55 μB per formula unit
* SG: R-3m, No. 166
* electronic total energy: -5.96 eV per atom
* crystal system: trigonal

Lattice parameters (Å, degrees): 4.456 4.456 16.498 90.00 90.00 120.00
Atoms (fractional coordinates):
1 Eu 0.000 0.000 0.000
2 Eu 0.333 0.667 0.667
3 Eu 0.667 0.333 0.333
4 Mg 0.000 0.000 0.500
5 Mg 0.333 0.667 0.167
6 Mg 0.667 0.333 0.833
7 As 0.000 0.000 0.239
8 As 0.000 0.000 0.761
9 As 0.333 0.667 0.428
10 As 0.333 0.667 0.906
11 As 0.667 0.333 0.094
12 As 0.667 0.333 0.572

***

Record 4
The following is a DFT calculation (GGA-PBE) of a geometry-optimized PaInAg2 structure.

Calculated values
* total magnetic moment: 0.00 μB per formula unit
* SG: Fm-3m, No. 225
* electronic total energy: -4.45 eV per atom
* crystal system: cubic

Lattice parameters (Å, degrees): 7.053 7.053 7.053 90.00 90.00 90.00
Atoms (fractional coordinates):
1 Pa 0.000 0.000 0.000
2 Pa 0.000 0.500 0.500
3 Pa 0.500 0.000 0.500
4 Pa 0.500 0.500 0.000
5 In 0.000 0.000 0.500
6 In 0.000 0.500 0.000
7 In 0.500 0.000 0.000
8 In 0.500 0.500 0.500
9 Ag 0.250 0.250 0.250
10 Ag 0.250 0.250 0.750
11 Ag 0.250 0.750 0.250
12 Ag 0.250 0.750 0.750
13 Ag 0.750 0.250 0.250
14 Ag 0.750 0.250 0.750
15 Ag 0.750 0.750 0.250
16 Ag 0.750 0.750 0.750

***

Record 5
The following is a DFT calculation (GGA-PBE) of a geometry-optimized Nd4Tl3Pt structure.

Calculated values
* total magnetic moment: 0.00 μB per formula unit
* SG: P4/mmm, No. 123
* electronic total energy: -4.58 eV per atom
* crystal system: tetragonal

Lattice parameters (Å, degrees): 3.704 3.704 16.450 90.00 90.00 90.00
Atoms (fractional coordinates):
1 Nd 0.000 0.000 0.104
2 Nd 0.000 0.000 0.368
3 Nd 0.000 0.000 0.632
4 Nd 0.000 0.000 0.896
5 Tl 0.500 0.500 0.239
6 Tl 0.500 0.500 0.500
7 Tl 0.500 0.500 0.761
8 Pt 0.500 0.500 0.000

***

Record 6
The following is a DFT calculation (GGA-PBE) of a geometry-optimized Ba2YH structure.

Calculated values
* total magnetic moment: 0.00 μB per formula unit
* SG: I-42d, No. 122
* electronic total energy: -3.29 eV per atom
* crystal system: tetragonal

Lattice parameters (Å, degrees): 8.118 8.118 9.081 90.00 90.00 90.00
Atoms (fractional coordinates):
1 Ba 0.118 0.250 0.125
2 Ba 0.250 0.618 0.375
3 Ba 0.250 0.882 0.875
4 Ba 0.382 0.250 0.625
5 Ba 0.618 0.750 0.625
6 Ba 0.750 0.118 0.875
7 Ba 0.750 0.382 0.375
8 Ba 0.882 0.750 0.125
9 Y 0.000 0.000 0.500
10 Y 0.000 0.500 0.750
11 Y 0.500 0.000 0.250
12 Y 0.500 0.500 0.000
13 H 0.000 0.000 0.000
14 H 0.000 0.500 0.250
15 H 0.500 0.000 0.750
16 H 0.500 0.500 0.500

***

Record 7
The following is a DFT calculation (GGA-PBE) of a geometry-optimized Mg2Sc3C structure.

Calculated values
* total magnetic moment: 1.14 μB per formula unit
* SG: Cmmm, No. 65
* electronic total energy: -5.46 eV per atom
* crystal system: orthorhombic

Lattice parameters (Å, degrees): 4.711 15.951 3.289 90.00 90.00 90.00
Atoms (fractional coordinates):
1 Mg 0.000 0.198 0.000
2 Mg 0.000 0.802 0.000
3 Mg 0.500 0.302 0.000
4 Mg 0.500 0.698 0.000
5 Sc 0.000 0.000 0.000
6 Sc 0.000 0.402 0.500
7 Sc 0.000 0.598 0.500
8 Sc 0.500 0.098 0.500
9 Sc 0.500 0.500 0.000
10 Sc 0.500 0.902 0.500
11 C 0.000 0.500 0.000
12 C 0.500 0.000 0.000

***

Record 8
The following is a DFT calculation (GGA-PBE) of a geometry-optimized WCl2 structure.

Calculated values
* E_form (uncorrected): 404 meV per atom
* total magnetic moment: 0.52 μB per formula unit
* SG: I4/mmm, No. 139
* electronic total energy: -5.14 eV per atom
* crystal system: tetragonal

Lattice parameters (Å, degrees): 3.055 3.055 13.175 90.00 90.00 90.00
Atoms (fractional coordinates):
1 W 0.000 0.000 0.000
2 W 0.500 0.500 0.500
3 Cl 0.000 0.000 0.388
4 Cl 0.000 0.000 0.612
5 Cl 0.500 0.500 0.112
6 Cl 0.500 0.500 0.888

***

Record 9
The following is a DFT calculation (GGA-PBE) of a geometry-optimized Tb3TeSe3 structure.

Calculated values
* E_form (uncorrected): -1722 meV per atom
* total magnetic moment: 0.00 μB per formula unit
* SG: I4_132, No. 214
* electronic total energy: -5.65 eV per atom
* crystal system: cubic

Lattice parameters (Å, degrees): 10.278 10.278 10.278 109.47 109.47 109.47
Atoms (fractional coordinates):
1 Tb 0.238 0.750 0.262
2 Tb 0.238 0.988 0.976
3 Tb 0.262 0.238 0.750
4 Tb 0.262 0.524 0.512
5 Tb 0.512 0.262 0.524
6 Tb 0.512 0.750 0.988
7 Tb 0.524 0.512 0.262
8 Tb 0.750 0.262 0.238
9 Tb 0.750 0.988 0.512
10 Tb 0.976 0.238 0.988
11 Tb 0.988 0.512 0.750
12 Tb 0.988 0.976 0.238
13 Te 0.000 0.250 0.500
14 Te 0.250 0.250 0.250
15 Te 0.250 0.500 0.000
16 Te 0.500 0.000 0.250
17 Se 0.005 0.009 0.755
18 Se 0.005 0.495 0.250
19 Se 0.009 0.755 0.005
20 Se 0.250 0.005 0.495
21 Se 0.250 0.745 0.755
22 Se 0.491 0.495 0.745
23 Se 0.495 0.250 0.005
24 Se 0.495 0.745 0.491
25 Se 0.745 0.491 0.495
26 Se 0.745 0.755 0.250
27 Se 0.755 0.005 0.009
28 Se 0.755 0.250 0.745

***

Record 10
The following is a DFT calculation (GGA-PBE) of a geometry-optimized Hf4In3Mo structure.

Calculated values
* total magnetic moment: 0.00 μB per formula unit
* SG: P4/mmm, No. 123
* electronic total energy: -7.50 eV per atom
* crystal system: tetragonal

Lattice parameters (Å, degrees): 3.337 3.337 15.206 90.00 90.00 90.00
Atoms (fractional coordinates):
1 Hf 0.000 0.000 0.100
2 Hf 0.000 0.000 0.365
3 Hf 0.000 0.000 0.635
4 Hf 0.000 0.000 0.900
5 In 0.500 0.500 0.235
6 In 0.500 0.500 0.500
7 In 0.500 0.500 0.765
8 Mo 0.500 0.500 0.000

***

Record 11
The following is a DFT calculation (GGA-PBE) of a geometry-optimized ZnAsCl structure.

Calculated values
* E_form (uncorrected): -132 meV per atom
* total magnetic moment: 0.00 μB per formula unit
* SG: I4mm, No. 107
* electronic total energy: -2.72 eV per atom
* crystal system: tetragonal

Lattice parameters (Å, degrees): 3.730 3.730 10.469 90.00 90.00 90.00
Atoms (fractional coordinates):
1 Zn 0.000 0.000 0.000
2 Zn 0.500 0.500 0.500
3 As 0.000 0.000 0.480
4 As 0.500 0.500 0.980
5 Cl 0.000 0.000 0.258
6 Cl 0.500 0.500 0.758

***

Record 12
The following is a DFT calculation (GGA-PBE) of a geometry-optimized CoOs3 structure.

Calculated values
* total magnetic moment: 1.86 μB per formula unit
* SG: Fm-3m, No. 225
* electronic total energy: -9.57 eV per atom
* crystal system: cubic

Lattice parameters (Å, degrees): 6.061 6.061 6.061 90.00 90.00 90.00
Atoms (fractional coordinates):
1 Co 0.000 0.000 0.000
2 Co 0.000 0.500 0.500
3 Co 0.500 0.000 0.500
4 Co 0.500 0.500 0.000
5 Os 0.000 0.000 0.500
6 Os 0.000 0.500 0.000
7 Os 0.250 0.250 0.250
8 Os 0.250 0.250 0.750
9 Os 0.250 0.750 0.250
10 Os 0.250 0.750 0.750
11 Os 0.500 0.000 0.000
12 Os 0.500 0.500 0.500
13 Os 0.750 0.250 0.250
14 Os 0.750 0.250 0.750
15 Os 0.750 0.750 0.250
16 Os 0.750 0.750 0.750